Density functional theory data (PBE-GGA) for an optimized crystal structure of Tb3Y4Tm5.

Summary:
The value obtained for the energy relative to the lowest polymorph listed for this composition is 0.0000 eV/atom. The calculated total energy comes out at -5.1504 eV/atom. The value obtained for the formation energy is 0.025 eV/atom.

Cell: 6.1188 7.0733 8.6479 Å, 89.94 89.90 89.93°
Closest atoms and distances in Å follow each position.
Space group P-1 (No. 2)
Inequivalent atoms, fractional coordinates:
Tb 0.0000 0.0000 0.0000 [1 per cell]  8 Tm 3.52-3.54, 2 Y 3.52, 2 Tb 3.52
Tb 0.1676 0.2487 0.3320 [2 per cell]  5 Tm 3.51-3.55, 6 Y 3.52-3.56, 1 Tb 3.52
Y 0.1668 0.7509 0.3326 [2 per cell]  4 Tb 3.52-3.55, 5 Tm 3.53-3.55, 3 Y 3.54-3.55
Y 0.3322 0.5006 0.6682 [2 per cell]  5 Tm 3.51-3.54, 3 Tb 3.53-3.56, 4 Y 3.54-3.56
Tm 0.0000 0.5000 0.0000 [1 per cell]  4 Y 3.51-3.53, 4 Tb 3.53-3.54, 4 Tm 3.53-3.54
Tm 0.3343 0.9999 0.6679 [2 per cell]  3 Tm 3.52-3.54, 4 Tb 3.52-3.55, 5 Y 3.53-3.55
Tm 0.4991 0.2492 0.0006 [2 per cell]  3 Tb 3.51-3.53, 6 Tm 3.52-3.55, 3 Y 3.53

---

Density functional theory data (PBE-GGA) for an optimized crystal structure of LiCdBiPt.

Summary:
The calculated total energy comes out at -3.4982 eV/atom. The value obtained for the formation energy is -0.310 eV/atom.

Cell: 6.8094 6.8094 6.8094 Å, 90.00 90.00 90.00°
Closest atoms and distances in Å follow each position.
Space group F-43m (No. 216)
Inequivalent atoms, fractional coordinates:
Li 0.0000 0.0000 0.0000 [4 per cell]  4 Bi 2.95, 4 Cd 2.95
Cd 0.2500 0.2500 0.7500 [4 per cell]  4 Li 2.95, 4 Pt 2.95
Bi 0.2500 0.2500 0.2500 [4 per cell]  4 Li 2.95, 4 Pt 2.95
Pt 0.0000 0.0000 0.5000 [4 per cell]  4 Cd 2.95, 4 Bi 2.95

---

Density functional theory data (PBE-GGA) for an optimized crystal structure of PuBi.

Summary:
The calculated total energy comes out at -9.4882 eV/atom. The value obtained for the formation energy is -0.382 eV/atom.

Cell: 4.1515 4.1515 3.3529 Å, 90.00 90.00 90.00°
Closest atoms and distances in Å follow each position.
Space group P4/mmm (No. 123)
Inequivalent atoms, fractional coordinates:
Pu 0.0000 0.0000 0.0000 [1 per cell]  2 Pu 3.35, 8 Bi 3.38
Bi 0.5000 0.5000 0.5000 [1 per cell]  2 Bi 3.35, 8 Pu 3.38

---

Density functional theory data (PBE-GGA) for an optimized crystal structure of SrCd2P.

Summary:
The calculated total energy comes out at -2.4607 eV/atom. The value obtained for the formation energy is -0.230 eV/atom.

Cell: 3.7878 3.7878 7.0392 Å, 90.00 90.00 90.00°
Closest atoms and distances in Å follow each position.
Space group P4mm (No. 99)
Inequivalent atoms, fractional coordinates:
Sr 0.0000 0.0000 0.0000 [1 per cell]  1 Cd 3.16, 4 P 3.25
Cd 0.0000 0.0000 0.5514 [1 per cell]  4 P 2.99, 4 Cd 3.07, 1 Sr 3.16
Cd 0.5000 0.5000 0.3384 [1 per cell]  1 P 2.82, 4 Cd 3.07
P 0.5000 0.5000 0.7389 [1 per cell]  5 Cd 2.82-2.99

---

Density functional theory data (PBE-GGA) for an optimized crystal structure of ReSb2TeC.

Summary:
As for the raw formation energy: 43.9 kcal/mol of atoms. The value obtained for the energy relative to the lowest polymorph listed for this composition is 0.4126 eV/atom. The calculated total energy comes out at -4.7068 eV/atom.

Cell: 5.1825 5.1825 5.1726 Å, 90.00 90.00 90.00°
Closest atoms and distances in Å follow each position.
Space group P4/mmm (No. 123)
Inequivalent atoms, fractional coordinates:
Re 0.0000 0.0000 0.0000 [1 per cell]  2 Te 2.59, 4 Sb 2.59
Sb 0.0000 0.5000 0.0000 [2 per cell]  2 Re 2.59
Te 0.0000 0.0000 0.5000 [1 per cell]  2 Re 2.59
C 0.5000 0.5000 0.5000 [1 per cell]  8 Sb 3.66, 4 Te 3.66

---

Density functional theory data (PBE-GGA) for an optimized crystal structure of PuFeB2.

Summary:
The value obtained for the energy relative to the lowest polymorph listed for this composition is 0.2466 eV/atom. The calculated total energy comes out at -9.1353 eV/atom. The value obtained for the formation energy is -0.098 eV/atom.

Cell: 3.4529 3.4529 13.9832 Å, 90.00 90.00 120.00°
Closest atoms and distances in Å follow each position.
Space group R-3m (No. 166, hexagonal axes)
Inequivalent atoms, fractional coordinates:
Pu 0.0000 0.0000 0.0000 [3 per cell]  8 B 2.71-2.79
Fe 0.0000 0.0000 0.5000 [3 per cell]  6 B 2.03
B 0.0000 0.0000 0.1937 [6 per cell]  3 Fe 2.03, 3 B 2.13

---

Density functional theory data (PBE-GGA) for an optimized crystal structure of CaHg2RhI.

Summary:
As for the raw formation energy: 10.2 kcal/mol of atoms. The calculated total energy comes out at -1.8600 eV/atom.

Cell: 5.9095 5.9095 5.0911 Å, 90.00 90.00 90.00°
Closest atoms and distances in Å follow each position.
Space group P4/mmm (No. 123)
Inequivalent atoms, fractional coordinates:
Ca 0.0000 0.0000 0.0000 [1 per cell]  2 Rh 2.55
Hg 0.0000 0.5000 0.0000 [2 per cell]  2 Ca 2.95
Rh 0.0000 0.0000 0.5000 [1 per cell]  2 Ca 2.55
I 0.5000 0.5000 0.5000 [1 per cell]  8 Hg 3.90, 4 Rh 4.18

---

Density functional theory data (PBE-GGA) for an optimized crystal structure of GaCoSn2I.

Summary:
As for the raw formation energy: -2.3 kcal/mol of atoms. The calculated total energy comes out at -4.0388 eV/atom.

Cell: 5.0534 5.0534 4.7522 Å, 90.00 90.00 90.00°
Closest atoms and distances in Å follow each position.
Space group P4/mmm (No. 123)
Inequivalent atoms, fractional coordinates:
Ga 0.0000 0.0000 0.0000 [1 per cell]  2 Co 2.38
Co 0.0000 0.0000 0.5000 [1 per cell]  2 Ga 2.38, 4 Sn 2.53
Sn 0.0000 0.5000 0.5000 [2 per cell]  2 Co 2.53
I 0.5000 0.5000 0.0000 [1 per cell]  8 Sn 3.47, 4 Ga 3.57

---

Density functional theory data (PBE-GGA) for an optimized crystal structure of La2Ge3Ir.

Summary:
The calculated total energy comes out at -6.2724 eV/atom. The value obtained for the formation energy is -0.844 eV/atom.

Cell: 8.6388 8.6627 14.8755 Å, 90.00 90.00 90.00°
Closest atoms and distances in Å follow each position.
Space group Fmmm (No. 69)
Inequivalent atoms, fractional coordinates:
La 0.0000 0.2440 0.0000 [8 per cell]  2 Ir 3.24, 10 Ge 3.27-3.36
La 0.2500 0.2500 0.2500 [8 per cell]  8 Ge 3.28, 4 Ir 3.31
Ge 0.0000 0.0000 0.3304 [8 per cell]  1 Ir 2.46, 2 Ge 2.51
Ge 0.2490 0.0000 0.0847 [16 per cell]  1 Ir 2.46, 2 Ge 2.51-2.52
Ir 0.0000 0.0000 0.1651 [8 per cell]  3 Ge 2.46

---

Density functional theory data (PBE-GGA) for an optimized crystal structure of NaSrPCl2.

Summary:
As for the raw formation energy: -21.8 kcal/mol of atoms. The value obtained for the energy relative to the lowest polymorph listed for this composition is 0.0000 eV/atom. The calculated total energy comes out at -3.3681 eV/atom.

Cell: 5.6595 5.6595 6.1034 Å, 90.00 90.00 90.00°
Closest atoms and distances in Å follow each position.
Space group P4/mmm (No. 123)
Inequivalent atoms, fractional coordinates:
Na 0.0000 0.0000 0.0000 [1 per cell]  4 P 4.00, 8 Cl 4.16
Sr 0.5000 0.5000 0.5000 [1 per cell]  4 Cl 2.83, 2 P 3.05
P 0.5000 0.5000 0.0000 [1 per cell]  2 Sr 3.05
Cl 0.0000 0.5000 0.5000 [2 per cell]  2 Sr 2.83

---

Density functional theory data (PBE-GGA) for an optimized crystal structure of Ac2Pr15Tm2.

Summary:
The calculated total energy comes out at -4.4703 eV/atom. The value obtained for the formation energy is 0.206 eV/atom.

Cell: 11.6720 11.6720 18.1851 Å, 90.00 90.00 120.00°
Closest atoms and distances in Å follow each position.
Space group R-3m (No. 166, hexagonal axes)
Inequivalent atoms, fractional coordinates:
Ac 0.0000 0.0000 0.1756 [6 per cell]  15 Pr 4.16-4.43, 1 Tm 4.20
Pr 0.0000 0.2916 0.5000 [18 per cell]  6 Pr 3.40-3.51, 2 Tm 3.80
Pr 0.0000 0.5000 0.0000 [9 per cell]  8 Pr 3.47-3.50, 2 Tm 3.62
Pr 0.0120 0.5060 0.6391 [18 per cell]  6 Pr 3.40-3.51
Tm 0.0000 0.0000 0.4065 [6 per cell]  1 Tm 3.40, 9 Pr 3.62-3.80

---

Density functional theory data (PBE-GGA) for an optimized crystal structure of LiEr7Zn4.

Summary:
The calculated total energy comes out at -3.2824 eV/atom. The value obtained for the formation energy is -0.037 eV/atom.

Cell: 13.8082 5.3698 9.2813 Å, 90.00 121.56 90.00°
Closest atoms and distances in Å follow each position.
Space group C2/m (No. 12)
Inequivalent atoms, fractional coordinates:
Li 0.0000 0.0000 0.0000 [2 per cell]  2 Er 2.68
Er 0.0000 0.5000 0.0000 [2 per cell]  2 Li 2.68, 4 Zn 2.81-3.00
Er 0.0782 0.0000 0.4184 [4 per cell]  3 Zn 2.90-3.01, 1 Er 3.22
Er 0.1916 0.0000 0.8775 [4 per cell]  6 Er 3.27-3.58, 3 Zn 3.29-3.33, 1 Li 3.38
Er 0.2326 0.5000 0.6903 [4 per cell]  4 Zn 2.82-3.03
Zn 0.0340 0.5000 0.7063 [4 per cell]  1 Zn 2.73, 4 Er 2.82-3.01
Zn 0.1783 0.5000 0.3404 [4 per cell]  1 Zn 2.73, 5 Er 2.81-3.03

---

Density functional theory data (PBE-GGA) for an optimized crystal structure of RhC3.

Summary:
The value obtained for the energy relative to the lowest polymorph listed for this composition is 0.1510 eV/atom. The calculated total energy comes out at -8.0370 eV/atom. The value obtained for the formation energy is 0.719 eV/atom.

Cell: 6.8581 2.5638 4.5859 Å, 90.00 109.63 90.00°
Closest atoms and distances in Å follow each position.
Space group Cm (No. 8)
Inequivalent atoms, fractional coordinates:
Rh 0.0000 0.0000 0.0000 [2 per cell]  3 C 2.06-2.15
C 0.0755 0.5000 0.4721 [2 per cell]  3 C 1.49
C 0.1877 0.0000 0.4824 [2 per cell]  3 C 1.48-1.49
C 0.4162 0.0000 0.6278 [2 per cell]  2 C 1.48-1.49

---

Density functional theory data (PBE-GGA) for an optimized crystal structure of Tl5Sn2Au5.

Summary:
The calculated total energy comes out at -3.0610 eV/atom. The value obtained for the formation energy is -0.042 eV/atom.

Cell: 14.0312 3.9133 12.4252 Å, 90.00 107.42 90.00°
Closest atoms and distances in Å follow each position.
Space group C2/m (No. 12)
Inequivalent atoms, fractional coordinates:
Tl 0.0000 0.0000 0.0000 [2 per cell]  4 Au 3.00
Tl 0.1684 0.0000 0.5601 [4 per cell]  4 Au 2.99-3.12
Tl 0.2429 0.5000 0.1369 [4 per cell]  5 Au 2.95-3.04
Sn 0.0388 0.5000 0.2958 [4 per cell]  4 Au 2.72-2.77
Au 0.0000 0.5000 0.5000 [2 per cell]  2 Sn 2.75, 4 Tl 2.99
Au 0.1132 0.5000 0.9013 [4 per cell]  1 Sn 2.72, 5 Tl 2.95-3.00
Au 0.1759 0.0000 0.2875 [4 per cell]  2 Sn 2.77, 2 Tl 3.04

---

Density functional theory data (PBE-GGA) for an optimized crystal structure of Tc2CF.

Summary:
As for the raw formation energy: 13.0 kcal/mol of atoms. The value obtained for the energy relative to the lowest polymorph listed for this composition is 0.2862 eV/atom. The calculated total energy comes out at -7.3935 eV/atom.

Cell: 5.5155 5.5155 5.5155 Å, 90.00 90.00 90.00°
Closest atoms and distances in Å follow each position.
Space group Fm-3m (No. 225)
Inequivalent atoms, fractional coordinates:
Tc 0.2500 0.2500 0.2500 [8 per cell]  4 F 2.39, 4 C 2.39
C 0.0000 0.0000 0.0000 [4 per cell]  8 Tc 2.39
F 0.0000 0.0000 0.5000 [4 per cell]  8 Tc 2.39

---

Density functional theory data (PBE-GGA) for an optimized crystal structure of AcNd2Sm3Y6.

Summary:
The calculated total energy comes out at -5.5296 eV/atom. The value obtained for the formation energy is 0.019 eV/atom.

Cell: 6.3208 10.9427 11.9398 Å, 90.00 100.13 90.00°
Closest atoms and distances in Å follow each position.
Space group C2/m (No. 12)
Inequivalent atoms, fractional coordinates:
Ac 0.0000 0.0000 0.0000 [2 per cell]  6 Nd 3.65, 6 Y 3.66
Nd 0.0000 0.3334 0.0000 [4 per cell]  6 Y 3.64-3.65, 3 Nd 3.65, 3 Ac 3.65
Sm 0.0000 0.1669 0.5000 [4 per cell]  6 Y 3.57-3.59, 6 Sm 3.64-3.65
Sm 0.0000 0.5000 0.5000 [2 per cell]  6 Y 3.57-3.58, 6 Sm 3.64-3.65
Y 0.2470 0.3323 0.7463 [8 per cell]  3 Sm 3.57-3.59, 6 Y 3.64-3.67, 2 Nd 3.64-3.65, 1 Ac 3.66
Y 0.2504 0.0000 0.7461 [4 per cell]  3 Sm 3.57-3.58, 6 Y 3.64-3.67, 2 Nd 3.65, 1 Ac 3.66

---

Density functional theory data (PBE-GGA) for an optimized crystal structure of URhS2.

Summary:
As for the raw formation energy: -13.1 kcal/mol of atoms. The value obtained for the energy relative to the lowest polymorph listed for this composition is 0.2016 eV/atom. The calculated total energy comes out at -7.2911 eV/atom.

Cell: 3.9943 3.9943 21.4032 Å, 90.00 90.00 120.00°
Closest atoms and distances in Å follow each position.
Space group R-3m (No. 166, hexagonal axes)
Inequivalent atoms, fractional coordinates:
U 0.0000 0.0000 0.0000 [3 per cell]  6 S 2.66
Rh 0.0000 0.0000 0.5000 [3 per cell]  2 S 2.23
S 0.0000 0.0000 0.3957 [6 per cell]  1 Rh 2.23

---

Density functional theory data (PBE-GGA) for an optimized crystal structure of LiAcDy2Hg4.

Summary:
The calculated total energy comes out at -2.4784 eV/atom. The value obtained for the formation energy is -0.424 eV/atom.

Cell: 5.1700 5.1700 27.6259 Å, 90.00 90.00 120.00°
Closest atoms and distances in Å follow each position.
Space group R-3m (No. 166, hexagonal axes)
Inequivalent atoms, fractional coordinates:
Li 0.0000 0.0000 0.0000 [3 per cell]  8 Hg 2.99-3.17
Ac 0.0000 0.0000 0.5000 [3 per cell]  8 Hg 3.39-3.54
Dy 0.0000 0.0000 0.2607 [6 per cell]  7 Hg 3.07-3.14
Hg 0.0000 0.0000 0.1082 [6 per cell]  1 Li 2.99, 3 Dy 3.14
Hg 0.0000 0.0000 0.3717 [6 per cell]  4 Dy 3.07-3.13, 3 Li 3.17

---

Density functional theory data (PBE-GGA) for an optimized crystal structure of ZrInAu4.

Summary:
The value obtained for the energy relative to the lowest polymorph listed for this composition is 0.2923 eV/atom. The calculated total energy comes out at -4.1586 eV/atom. The value obtained for the formation energy is -0.093 eV/atom.

Cell: 7.8368 7.8368 7.8368 Å, 90.00 90.00 90.00°
Closest atoms and distances in Å follow each position.
Space group F-43m (No. 216)
Inequivalent atoms, fractional coordinates:
Zr 0.0000 0.0000 0.0000 [4 per cell]  12 Au 3.25, 4 In 3.39
In 0.2500 0.2500 0.2500 [4 per cell]  12 Au 3.25, 4 Zr 3.39
Au 0.1253 0.1253 0.6253 [16 per cell]  6 Au 2.76-2.78

---

Density functional theory data (PBE-GGA) for an optimized crystal structure of ThSiTe2.

Summary:
As for the raw formation energy: 0.9 kcal/mol of atoms. The calculated total energy comes out at -4.7414 eV/atom.

Cell: 3.8782 3.8782 28.2069 Å, 90.00 90.00 120.00°
Closest atoms and distances in Å follow each position.
Space group R-3m (No. 166, hexagonal axes)
Inequivalent atoms, fractional coordinates:
Th 0.0000 0.0000 0.0000 [3 per cell]  2 Te 3.08
Si 0.0000 0.0000 0.5000 [3 per cell]  6 Te 2.76
Te 0.0000 0.0000 0.1093 [6 per cell]  3 Si 2.76, 1 Th 3.08